4
Lattice="-4.050 2.297 -3.353 -5.513 -1.583 -0.115 4.623 2.094 2.676" Properties=species:S:1:pos:R:3 comment="LiIr2Au, optimized geometry, DFT GGA-PBE" formation_enthalpy_0k_ev_per_atom=0.06 e_above_lowest_polymorph_mev_per_atom=106 dft_energy_ev_per_atom=-5.67 magnetic_moment_mub_per_fu=0.0 pbc="T T T"
Ir -0.191 0.014 -0.069
Li -2.104 2.374 -1.205
Au -2.836 0.434 0.414
Ir -4.591 0.343 -1.665